12
Lattice="-5.812 -0.796 1.801 -1.738 -4.288 -4.043 10.124 -4.332 6.465" Properties=species:S:1:pos:R:3 comment="Pm2HoTm3 (PBE-GGA, relaxed)" formation_energy_ev_per_fu=0.13 n_ef_per_ev_cell=15.8 pbc="T T T"
Tm -3.390 -3.906 -2.181
Tm 2.545 -3.922 3.077
Tm 2.606 -4.335 6.602
Tm 5.964 -5.511 6.404
Tm 0.029 -5.494 1.147
Tm -0.032 -5.081 -2.379
Ho 5.903 -5.106 2.876
Ho -3.329 -4.311 1.348
Pm -0.841 -2.346 -0.261
Pm -0.780 -2.759 3.267
Pm 3.415 -7.071 4.484
Pm 3.354 -6.658 0.957

18
Lattice="6.478 -0.139 -0.134 1.620 9.258 -0.755 1.620 -0.454 9.278" Properties=species:S:1:pos:R:3 comment="PmHo2Tm6 (PBE-GGA, relaxed)" formation_energy_ev_per_fu=0.90 n_ef_per_ev_cell=20.9 pbc="T T T"
Tm 5.581 0.242 4.146
Tm 4.969 2.844 6.354
Tm 4.869 6.734 8.193
Tm 8.108 8.337 6.398
Tm 4.848 1.931 0.196
Tm 4.748 5.821 2.034
Tm 7.375 4.444 8.214
Tm 2.342 4.221 0.174
Tm 4.136 8.423 4.243
Tm 1.509 2.291 5.819
Tm 8.208 6.374 2.570
Tm 1.609 0.328 1.991
Pm 6.478 7.972 0.366
Pm 3.239 0.693 8.023
Ho 6.160 5.791 5.125
Ho 6.795 3.285 2.699
Ho 3.556 2.874 3.263
Ho 2.922 5.380 5.689

11
Lattice="7.467 0.000 0.000 0.000 7.467 0.000 -3.733 -3.733 6.635" Properties=species:S:1:pos:R:3 comment="PmHo6Tm4 (PBE-GGA, relaxed)" formation_energy_ev_per_fu=4.85 n_ef_per_ev_cell=15.6 pbc="T T T"
Ho 1.959 5.508 2.471
Ho -1.774 -1.774 4.164
Ho 3.733 0.000 0.000
Ho 5.508 1.959 2.471
Ho 0.000 3.733 0.000
Ho 1.774 1.774 4.164
Pm 3.733 3.733 0.000
Tm -2.538 2.538 5.569
Tm 2.538 -2.538 5.569
Tm 1.195 1.195 1.066
Tm 6.272 6.272 1.066